No. 1
{"formula": "AlRu2Rh", "functional": "PBE", "state": "relaxed", "lattice": [[4.688, 0.000, 0.000], [-1.677, 4.378, 0.000], [0.000, 0.000, 2.737]], "species": ["Ru", "Rh", "Al", "Ru"], "fractional_positions": [[0.500, 0.500, 0.000], [0.000, 0.500, 0.500], [0.500, 0.000, 0.500], [0.000, 0.000, 0.000]], "sg": "No. 65", "delta_e_f_ev_per_atom": -0.17}


No. 2
{"formula": "TmZrMo4", "functional": "PBE", "state": "relaxed", "lattice": [[-0.280, -2.906, -4.581], [4.376, -2.672, -1.793], [0.145, -5.426, 0.212]], "species": ["Zr", "Tm", "Mo", "Mo", "Mo", "Mo"], "fractional_positions": [[0.250, 0.250, 0.250], [0.000, 0.000, 0.000], [0.625, 0.125, 0.625], [0.625, 0.625, 0.125], [0.125, 0.625, 0.625], [0.625, 0.625, 0.625]], "sg": "No. 216", "delta_e_f_ev_per_atom": -0.05}


No. 3
{"formula": "HfRu3O", "functional": "PBE", "state": "relaxed", "lattice": [[4.114, 0.000, 0.000], [0.000, 4.114, 0.000], [0.000, 0.000, 4.114]], "species": ["Ru", "Ru", "Hf", "Ru", "O"], "fractional_positions": [[0.000, 0.500, 0.000], [0.000, 0.000, 0.500], [0.500, 0.500, 0.500], [0.500, 0.000, 0.000], [0.000, 0.000, 0.000]], "raw_formation_energy_ev_per_atom": -0.23, "de_polymorph_ev_per_atom": 0.0000, "sg": "No. 221"}


No. 4
{"formula": "CeMn2V", "functional": "PBE", "state": "relaxed", "lattice": [[2.871, 0.000, 0.000], [1.436, 2.487, 0.000], [1.436, 0.829, 8.985]], "species": ["Mn", "Mn", "Ce", "V"], "fractional_positions": [[0.735, 0.735, 0.796], [0.265, 0.265, 0.204], [0.500, 0.500, 0.500], [0.000, 0.000, 0.000]], "sg": "No. 166", "delta_e_f_ev_per_atom": 0.35}


No. 5
{"formula": "SrPmMgAu", "functional": "PBE", "state": "relaxed", "lattice": [[5.448, 0.000, 0.000], [2.724, 4.718, 0.000], [2.724, 1.573, 4.448]], "species": ["Mg", "Au", "Sr", "Pm"], "fractional_positions": [[0.500, 0.500, 0.500], [0.000, 0.000, 0.000], [0.750, 0.750, 0.750], [0.250, 0.250, 0.250]], "sg": "No. 216", "delta_e_f_ev_per_atom": -0.32}


No. 6
{"formula": "Cs3In8Hg3", "functional": "PBE", "state": "relaxed", "lattice": [[4.890, 0.000, 1.332], [1.914, 9.857, 2.616], [-0.192, -0.739, 10.348]], "species": ["In", "In", "In", "Hg", "In", "Cs", "In", "Cs", "Hg", "In", "Hg", "In", "In", "Cs"], "fractional_positions": [[0.188, 0.137, 0.486], [0.188, 0.486, 0.137], [0.389, 0.315, 0.907], [0.500, 0.000, 0.000], [0.611, 0.685, 0.093], [0.500, 0.500, 0.500], [0.611, 0.093, 0.685], [0.193, 0.807, 0.807], [0.000, 0.235, 0.765], [0.389, 0.907, 0.315], [0.000, 0.765, 0.235], [0.812, 0.514, 0.863], [0.812, 0.863, 0.514], [0.807, 0.193, 0.193]], "sg": "No. 71", "delta_e_f_ev_per_atom": -0.08}


No. 7
{"formula": "BaHf", "functional": "PBE", "state": "relaxed", "lattice": [[13.804, 0.000, 0.000], [0.000, 13.804, 0.000], [0.000, 0.000, 3.353]], "species": ["Hf", "Ba", "Ba", "Hf", "Hf", "Ba", "Ba", "Ba", "Hf", "Ba", "Hf", "Hf", "Hf", "Ba", "Hf", "Ba"], "fractional_positions": [[0.764, 0.500, 0.000], [0.231, 0.769, 0.500], [0.000, 0.375, 0.000], [0.500, 0.236, 0.000], [0.397, 0.397, 0.500], [0.000, 0.625, 0.000], [0.231, 0.231, 0.500], [0.769, 0.769, 0.500], [0.236, 0.500, 0.000], [0.375, 0.000, 0.000], [0.603, 0.397, 0.500], [0.397, 0.603, 0.500], [0.500, 0.764, 0.000], [0.769, 0.231, 0.500], [0.603, 0.603, 0.500], [0.625, 0.000, 0.000]], "de_polymorph_ev_per_atom": 0.0279, "sg": "No. 123", "delta_e_f_ev_per_atom": 0.59}


No. 8
{"formula": "TbPrSm2Ho2", "functional": "PBE", "state": "relaxed", "lattice": [[-1.501, 3.061, -0.170], [-5.794, -2.902, -1.083], [-3.075, -0.519, 17.831]], "species": ["Ho", "Ho", "Tb", "Sm", "Pr", "Tb", "Sm", "Pr", "Ho", "Sm", "Ho", "Sm"], "fractional_positions": [[0.000, 0.716, 0.853], [0.000, 0.284, 0.147], [0.500, 0.500, 0.000], [0.000, 0.781, 0.188], [0.500, 0.500, 0.500], [0.000, 0.000, 0.500], [0.000, 0.219, 0.812], [0.000, 0.000, 0.000], [0.500, 0.216, 0.647], [0.500, 0.719, 0.688], [0.500, 0.784, 0.353], [0.500, 0.281, 0.312]], "sg": "No. 58", "delta_e_f_ev_per_atom": 0.27}


No. 9
{"formula": "KAg2As", "functional": "PBE", "state": "relaxed", "lattice": [[5.687, 0.000, 0.000], [0.000, 5.687, 0.000], [2.844, 2.844, 8.227]], "species": ["K", "As", "Ag", "Ag", "Ag", "Ag", "As", "K"], "fractional_positions": [[0.250, 0.750, 0.500], [0.000, 0.000, 0.000], [0.876, 0.625, 0.250], [0.375, 0.126, 0.750], [0.875, 0.124, 0.750], [0.874, 0.125, 0.250], [0.750, 0.250, 0.500], [0.500, 0.500, 0.000]], "sg": "No. 141", "delta_e_f_ev_per_atom": -0.12}


No. 10
{"formula": "Mg2Zn3Pd2", "functional": "PBE", "state": "relaxed", "lattice": [[4.160, 0.000, 0.000], [-2.080, 4.527, -0.076], [0.000, -2.169, 6.265]], "species": ["Zn", "Zn", "Mg", "Zn", "Pd", "Pd", "Mg"], "fractional_positions": [[0.376, 0.752, 0.565], [0.500, 0.000, 0.000], [0.863, 0.725, 0.230], [0.624, 0.248, 0.435], [0.848, 0.696, 0.804], [0.152, 0.304, 0.196], [0.137, 0.275, 0.770]], "sg": "No. 12", "delta_e_f_ev_per_atom": -0.43}


No. 11
{"formula": "Ni7SnP2", "functional": "PBE", "state": "relaxed", "lattice": [[3.649, 0.000, -0.702], [-0.135, 3.646, -0.702], [-0.092, -0.095, 9.356]], "species": ["Ni", "Ni", "P", "Ni", "P", "Ni", "Ni", "Ni", "Sn", "Ni"], "fractional_positions": [[0.750, 0.250, 0.500], [0.393, 0.893, 0.787], [0.325, 0.325, 0.649], [0.893, 0.393, 0.787], [0.675, 0.675, 0.351], [0.500, 0.500, 0.000], [0.607, 0.107, 0.213], [0.250, 0.750, 0.500], [0.000, 0.000, 0.000], [0.107, 0.607, 0.213]], "sg": "No. 139", "delta_e_f_ev_per_atom": -0.41}


No. 12
{"formula": "Ba4Rh3", "functional": "PBE", "state": "relaxed", "lattice": [[2.930, -5.076, 0.000], [2.930, 5.076, 0.000], [0.000, 0.000, 6.534]], "species": ["Ba", "Rh", "Rh", "Rh", "Ba", "Ba", "Ba"], "fractional_positions": [[0.000, 0.000, 0.767], [0.500, 0.500, 0.000], [0.000, 0.500, 0.000], [0.500, 0.000, 0.000], [0.333, 0.667, 0.500], [0.000, 0.000, 0.233], [0.667, 0.333, 0.500]], "sg": "No. 191", "delta_e_f_ev_per_atom": 0.29}


No. 13
{"formula": "BeAsAu", "functional": "PBE", "state": "relaxed", "lattice": [[4.463, 0.000, 0.000], [-1.720, 3.530, 0.000], [0.000, 0.000, 6.766]], "species": ["As", "Au", "Au", "Be", "As", "Be"], "fractional_positions": [[0.540, 0.323, 0.021], [0.172, 0.637, 0.625], [0.146, 0.627, 0.125], [0.559, 0.332, 0.688], [0.778, 0.941, 0.521], [0.759, 0.932, 0.188]], "sg": "No. 4", "delta_e_f_ev_per_atom": -0.03}


| no. | Fermi-level density of states (states/eV per atom) | E_tot (eV/atom) |
| --- | --- | --- |
| 1 | 1.314 | -7.580 |
| 2 | 0.929 | -9.437 |
| 3 | 0.759 | -8.775 |
| 4 | 1.939 | -7.994 |
| 5 | 0.881 | -3.142 |
| 6 | 0.416 | -1.891 |
| 7 | 1.117 | -5.352 |
| 8 | 1.691 | -4.400 |
| 9 | 0.000 | -2.985 |
| 10 | 0.411 | -2.920 |
| 11 | 0.795 | -5.934 |
| 12 | 1.220 | -3.960 |
| 13 | 0.103 | -3.915 |